DFT (GGA+U) results for a relaxed Tm2CrTeO8 crystal.

a b c (Å): 4.8792 4.8775 6.4358
angles (deg): 90.00 90.00 92.51
Each line ends with the local moment (μB).
Sites, in units of the cell vectors:
O: 0.2763 0.2758 0.5000  -0.10
O: 0.7149 0.7155 0.0000  0.00
O: 0.8212 0.1794 0.7608  -0.04
O: 0.1788 0.8206 0.2392  -0.04
O: 0.8212 0.1794 0.2392  -0.04
O: 0.7237 0.7242 0.5000  -0.10
O: 0.2851 0.2845 0.0000  0.00
O: 0.1788 0.8206 0.7608  -0.04
Tm: 0.5000 0.5000 0.7464  0.01
Tm: 0.5000 0.5000 0.2536  0.01
Te: 0.0000 0.0000 0.0000  0.01
Cr: 0.0000 0.0000 0.5000  2.33

**VASP energy**: -7.154 eV/atom
**SG**: No. 65